The following is a DFT calculation (PBE) of a relaxed structure of Ba3Sm2ErSe6.

Computed properties:
The calculation puts the total moment at 0.000 Bohr magnetons per cell. Its formation energy (no corrections) is -1.89 eV/atom.

a b c (Å): 7.4938 7.4938 7.8007
angles (deg): 99.25 99.25 119.94
Last column: nearest neighbours and their distance in Å.
Fractional positions:
Se: 0.0712 0.3969 0.2142  1 Er 2.91, 2 Sm 2.99, 2 Ba 3.25
Sm: 0.3341 0.6659 0.0000  6 Se 2.98-2.99
Se: 0.6031 0.9288 0.7858  1 Er 2.91, 2 Sm 2.99, 2 Ba 3.25
Ba: 0.5000 0.5000 0.5000  6 Se 3.25-3.31
Se: 0.2531 0.2531 0.7833  1 Er 2.92, 2 Sm 2.98, 2 Ba 3.26
Ba: 0.1692 0.8308 0.5000  6 Se 3.25-3.29
Se: 0.9288 0.6031 0.7858  1 Er 2.91, 2 Sm 2.99, 2 Ba 3.25
Ba: 0.8308 0.1692 0.5000  6 Se 3.25-3.29
Se: 0.3969 0.0712 0.2142  1 Er 2.91, 2 Sm 2.99, 2 Ba 3.25
Sm: 0.6659 0.3341 0.0000  6 Se 2.98-2.99
Er: 0.0000 0.0000 0.0000  6 Se 2.91-2.92
Se: 0.7469 0.7469 0.2167  1 Er 2.92, 2 Sm 2.98, 2 Ba 3.26